Ac5BiIr2: optimized geometry, GGA-PBE.

```
16
Lattice="-1.1509 6.3198 -5.6044 3.4938 -4.7936 -6.1230 -7.8153 -3.4616 4.1852" Properties=species:S:1:pos:R:3 pbc="T T T"
Ac -3.8852 -2.6401 -4.2183
Ac 0.4458 -0.5937 -9.2838
Ac 0.0000 0.0000 0.0000
Ac 1.1714 0.7631 -5.8637
Ac -5.9183 -1.3416 1.7416
Ac -5.8456 0.9291 -2.1965
Ac -3.9578 -4.9108 -0.2802
Ac 0.3732 -2.8644 -5.3457
Ac -1.5146 2.9755 -7.2620
Ac -1.5872 0.7048 -3.3239
Bi -2.1505 -0.5861 -6.7030
Bi -3.3219 -1.3492 -0.8392
Ir 1.0787 -0.7980 -2.9869
Ir -0.2384 3.3795 -4.4893
Ir 2.5813 -1.8533 -7.2381
Ir 1.2642 2.3242 -8.7405
```

Computed properties:
**Crystal system**: tetragonal
**Calculated density**: 10.7 g cm⁻³
**Space-group type**: I4/mcm, No. 140
**Final energy**: -5.91 eV/atom
**DOS at the Fermi energy**: 6.54 states/eV/f.u.

***

LaPrGe4: optimized geometry, GGA-PBE.

```
24
Lattice="4.2549 0.0000 0.0000 0.0000 8.9829 0.0000 0.0000 0.0000 15.7525" Properties=species:S:1:pos:R:3 pbc="T T T"
La 0.0000 5.4543 5.7601
La 0.0000 3.5286 9.9924
La 0.0000 0.9629 2.1162
La 0.0000 8.0200 13.6363
Pr 0.0000 5.6932 1.3477
Pr 0.0000 3.2896 14.4048
Pr 0.0000 1.2018 6.5285
Pr 0.0000 7.7811 9.2240
Ge 2.1274 7.3848 3.0209
Ge 2.1274 1.5981 12.7316
Ge 2.1274 2.8934 4.8553
Ge 2.1274 6.0895 10.8971
Ge 2.1274 7.8302 0.4882
Ge 2.1274 1.1526 15.2643
Ge 2.1274 3.3388 7.3881
Ge 2.1274 5.6441 8.3644
Ge 2.1274 7.7411 6.6718
Ge 2.1274 1.2418 9.0806
Ge 2.1274 3.2496 1.2044
Ge 2.1274 5.7332 14.5481
Ge 2.1274 0.4013 4.4894
Ge 2.1274 8.5815 11.2631
Ge 2.1274 4.8928 3.3868
Ge 2.1274 4.0901 12.3657
```

Computed properties:
**Crystal system**: orthorhombic
**Offset from the most stable computed form**: 0.0 meV per atom
**Calculated density**: 6.3 g cm⁻³
**Space-group type**: Pbam, No. 55
**Final energy**: -5.23 eV/atom
**DOS at the Fermi energy**: 1.94 states/eV/f.u.

***

DyZrFe: optimized geometry, GGA-PBE.

```
3
Lattice="3.2890 0.0000 0.0000 0.0000 3.2890 0.0000 -1.6445 -1.6445 5.9221" Properties=species:S:1:pos:R:3 pbc="T T T"
Fe 1.6445 1.6445 2.1530
Zr 0.0000 0.0000 3.4619
Dy 0.0000 0.0000 0.3073
```

Computed properties:
**Crystal system**: tetragonal
**Offset from the most stable computed form**: 13.7 meV per atom
**Calculated density**: 8.0 g cm⁻³
**Space-group type**: I4mm, No. 107
**Final energy**: -7.17 eV/atom
**DOS at the Fermi energy**: 2.74 states/eV/f.u.

***

ZnIn2Cu: optimized geometry, GGA-PBE.

```
4
Lattice="-1.7328 1.4818 3.0894 0.0933 -1.8863 3.3430 5.2206 3.1181 3.8187" Properties=species:S:1:pos:R:3 pbc="T T T"
Zn 1.7751 1.3481 5.1211
In 3.8996 2.3730 3.4351
In 0.7667 0.6059 2.5254
Cu -1.0699 -0.2566 4.2950
```

Computed properties:
**Crystal system**: trigonal
**Calculated density**: 6.8 g cm⁻³
**Space-group type**: R3m, No. 160
**Final energy**: -2.51 eV/atom
**DOS at the Fermi energy**: 1.55 states/eV/f.u.

***

PmBeAl: optimized geometry, GGA-PBE.

```
18
Lattice="-1.5528 -2.5576 2.5391 5.9540 0.0221 3.6634 -4.4388 9.7984 7.1552" Properties=species:S:1:pos:R:3 pbc="T T T"
Pm -2.6571 9.3690 7.8123
Pm 4.1722 0.4514 3.0063
Pm -0.8320 5.3403 4.8704
Pm 2.3472 4.4801 5.9482
Pm -0.4365 2.4521 2.2030
Pm 1.9517 7.3683 8.6156
Be -0.8713 -0.4669 2.0294
Be 0.8337 7.7297 11.3284
Be -2.3560 2.8105 4.4226
Be 2.3184 4.4523 8.9351
Be 2.0789 2.4614 3.7507
Be -0.5638 7.3590 7.0679
Al 0.9961 0.1498 3.7926
Al -1.0338 7.1130 9.5652
Al 0.0629 2.2097 5.2968
Al -0.1006 5.0531 8.0610
Al 2.6490 1.1876 5.8488
Al -2.6867 6.0752 7.5089
```

Computed properties:
**Crystal system**: orthorhombic
**Offset from the most stable computed form**: 0.0 meV per atom
**Calculated density**: 5.1 g cm⁻³
**Space-group type**: Pmma, No. 51
**Final energy**: -4.28 eV/atom
**DOS at the Fermi energy**: 2.06 states/eV/f.u.

***

KCaF: optimized geometry, GGA-PBE.

```
6
Lattice="4.0217 0.0000 0.0000 0.0000 4.0217 0.0000 0.0000 0.0000 13.4657" Properties=species:S:1:pos:R:3 pbc="T T T"
Ca 2.0109 0.0000 7.9976
Ca 0.0000 2.0109 5.4681
K 2.0109 0.0000 2.0015
K 0.0000 2.0109 11.4642
F 2.0109 2.0109 6.7329
F 0.0000 0.0000 6.7329
```

Computed properties:
**Crystal system**: tetragonal
**Formation energy from raw total energies**: -1851 meV per atom
**Calculated density**: 1.5 g cm⁻³
**Space-group type**: P4/nmm, No. 129
**Final energy**: -3.51 eV/atom
**DOS at the Fermi energy**: 1.38 states/eV/f.u.

***

HoPa2MnN4: optimized geometry, GGA-PBE.

```
16
Lattice="-1.9927 -6.4039 1.3772 4.7209 -0.5019 4.9334 -4.5344 5.0471 0.1837" Properties=species:S:1:pos:R:3 pbc="T T T"
Ho -4.1666 -1.6077 4.0276
Ho -1.8994 -4.1313 3.9358
Pa -0.9964 -3.2019 0.6886
Pa -3.2635 -0.6784 0.7805
Pa 0.4611 -4.3821 6.4023
Pa 1.3641 -3.4529 3.1555
Mn -0.9037 -0.9299 3.2482
Mn -1.8060 -1.8586 6.4932
N 3.0171 -2.0007 4.0616
N -2.5917 -2.4126 2.3220
N 0.7858 0.5540 4.1726
N -4.8230 0.1422 2.4326
N 2.0150 -5.0965 4.7483
N -0.1413 -2.6959 4.8353
N -1.6658 0.8379 1.6588
N -3.8206 3.2368 1.7458
```

Computed properties:
**Crystal system**: orthorhombic
**Formation energy from raw total energies**: -1213 meV per atom
**Calculated density**: 10.7 g cm⁻³
**Space-group type**: Imma, No. 74
**Final energy**: -9.47 eV/atom
**DOS at the Fermi energy**: 4.59 states/eV/f.u.

***

LaNiRh4: optimized geometry, GGA-PBE.

```
6
Lattice="-4.4220 -2.6580 1.1549 -0.8998 -1.6081 4.9555 -3.7916 2.3003 2.8784" Properties=species:S:1:pos:R:3 pbc="T T T"
La -6.8350 -1.4744 6.7416
Ni 0.0000 0.0000 0.0000
Rh -5.6348 -2.0726 3.9450
Rh -5.3178 0.4212 4.8118
Rh -3.8633 -1.5445 5.8565
Rh -3.4108 -0.7357 3.3642
```

Computed properties:
**Crystal system**: cubic
**Offset from the most stable computed form**: 100.8 meV per atom
**Calculated density**: 9.7 g cm⁻³
**Space-group type**: F-43m, No. 216
**Final energy**: -6.76 eV/atom
**DOS at the Fermi energy**: 11.08 states/eV/f.u.

***

Ho5Si3: optimized geometry, GGA-PBE.

```
16
Lattice="8.3997 0.0000 0.0000 -4.1999 7.2744 0.0000 0.0000 0.0000 6.3263" Properties=species:S:1:pos:R:3 pbc="T T T"
Ho -0.0001 4.8496 0.0000
Ho 4.1999 2.4248 3.1632
Ho 4.1999 2.4248 0.0000
Ho -0.0001 4.8496 3.1632
Ho 2.0398 0.0000 1.5816
Ho -1.0199 1.7666 1.5816
Ho 3.1799 5.5078 1.5816
Ho 2.1600 7.2744 4.7447
Ho 5.2198 5.5078 4.7447
Ho 1.0199 1.7666 4.7447
Si 0.8854 7.2744 1.5816
Si 5.8571 4.4040 1.5816
Si 1.6572 2.8704 1.5816
Si 3.3145 0.0000 4.7447
Si -1.6572 2.8704 4.7447
Si 2.5426 4.4039 4.7447
```

Computed properties:
**Crystal system**: hexagonal
**Formation energy from raw total energies**: -694 meV per atom
**Offset from the most stable computed form**: 0.0 meV per atom
**Calculated density**: 7.8 g cm⁻³
**Space-group type**: P6_3/mcm, No. 193
**Final energy**: -5.59 eV/atom
**DOS at the Fermi energy**: 5.42 states/eV/f.u.

***

CaHgRh: optimized geometry, GGA-PBE.

```
6
Lattice="-1.4967 4.5381 0.2743 -0.3399 -0.3997 4.7573 5.9683 1.9327 0.5891" Properties=species:S:1:pos:R:3 pbc="T T T"
Ca 0.7998 1.4537 3.0612
Ca 3.2056 4.8900 1.1149
Hg 3.7837 2.4205 3.3568
Hg 0.2221 3.9222 0.8200
Rh 4.5280 5.1725 3.6408
Rh 1.5439 4.2062 3.3461
```

Computed properties:
**Crystal system**: tetragonal
**Calculated density**: 7.9 g cm⁻³
**Space-group type**: P4_2/mmc, No. 131
**Final energy**: -3.56 eV/atom
**DOS at the Fermi energy**: 1.51 states/eV/f.u.

***

LiAl2Tc: optimized geometry, GGA-PBE.

```
4
Lattice="-2.7554 1.4877 1.1288 0.0188 -1.9899 2.6683 3.0175 3.5796 2.6482" Properties=species:S:1:pos:R:3 pbc="T T T"
Al 2.9066 3.4479 2.5508
Al -0.5682 0.6980 2.6007
Li 1.5260 1.8102 1.3392
Tc 0.9429 2.4905 3.9269
```

Computed properties:
**Crystal system**: tetragonal
**Offset from the most stable computed form**: 300.5 meV per atom
**Calculated density**: 4.4 g cm⁻³
**Space-group type**: P4mm, No. 99
**Final energy**: -4.95 eV/atom
**DOS at the Fermi energy**: 3.64 states/eV/f.u.

***

SbAs2Cl13: optimized geometry, GGA-PBE.

```
32
Lattice="-5.0409 -8.2635 -1.9141 8.3451 -1.8375 4.9339 -6.0390 1.2133 10.6660" Properties=species:S:1:pos:R:3 pbc="T T T"
As -4.4099 -4.4418 10.1790
As 0.3987 -4.1896 5.7613
As 6.1958 -2.7231 4.3235
As -6.3405 -6.6851 4.7878
Cl -0.9177 -5.9174 1.4220
Cl 0.1252 -3.3606 8.8333
Cl -9.2860 -6.6014 8.2907
Cl 4.7425 -1.9231 8.5898
Cl -4.0292 -5.4781 0.0372
Cl 2.8743 -3.7271 10.8583
Cl 1.8511 -0.5991 9.9231
Cl -3.0060 -8.6061 0.9723
Cl -7.2508 -3.9116 8.7916
Cl 3.0006 -4.6717 7.5707
Cl 1.9757 -1.5385 6.6340
Cl -6.2259 -7.0448 9.7283
Cl -1.1771 -1.9890 0.8962
Cl 0.3270 -7.2775 9.4610
Cl -1.9536 -0.3056 7.3767
Cl 1.1035 -8.9609 2.9805
Cl 4.2242 -3.4401 4.0822
Cl -5.0427 -5.8327 6.2191
Cl 1.1999 -1.7141 13.1649
Cl -5.3130 -6.8968 2.9553
Cl 1.4468 -4.4419 3.7706
Cl -3.2392 -4.6353 8.2510
Cl -2.9248 -5.4027 11.5133
Cl -1.4126 -3.1631 5.0031
Cl -0.4033 -6.2484 5.9255
Cl -3.9341 -2.3174 10.5909
Sb -8.1865 -5.6674 10.2118
Sb 2.4500 -2.6174 8.7755
```

Computed properties:
**Crystal system**: orthorhombic
**Formation energy from raw total energies**: -610 meV per atom
**Calculated density**: 2.2 g cm⁻³
**Space-group type**: Cmc2_1, No. 36
**Final energy**: -2.95 eV/atom

***

Which of these has the lowest final energy? HoPa2MnN4